VASP calculation (PBE) on an optimized crystal structure of Nd3Dy4Er2.

```
18
Lattice="5.749 1.582 1.132 2.088 11.043 0.733 2.088 4.252 10.218" Properties=species:S:1:pos:R:3 pbc="T T T"
Dy 5.419 10.709 9.569
Nd 4.926 13.857 8.406
Dy 7.584 7.371 10.529
Dy 2.341 9.506 1.555
Nd 4.999 3.020 3.678
Dy 1.631 3.577 4.462
Er 5.917 11.260 6.134
Er 6.882 8.233 3.967
Dy 4.505 6.168 2.514
Nd 7.801 13.213 10.975
Er 3.043 8.644 8.117
Dy 4.709 11.552 3.019
Dy 5.215 5.325 9.064
Er 4.007 5.617 5.949
Nd 2.124 3.664 1.108
Nd 3.525 8.752 4.769
Dy 8.294 13.300 7.621
Nd 6.400 8.125 7.315
```

Computed properties:
Excess energy over the best structure of this formula in the dataset   82.5 meV/atom
Density   8.07 g/cm³
ΔH_f (0 K)   9.71 kJ/mol of atoms